Below is crystalline PmIn2Ni at its relaxed geometry, with properties calculated at the PBE level.

Unit cell a=16.4014 b=7.4516 c=5.7465 alpha=90.00 beta=90.00 gamma=90.00
Closest atoms and distances in Å follow each position.
Space group Pnma (No. 62)
Asymmetric unit:
Pm 0.1071 0.2500 0.2465  3 Ni 3.01-3.24, 4 In 3.24-3.25
Pm 0.1425 0.7500 0.4654  3 Ni 2.97-3.27, 4 In 3.25-3.27
In 0.0361 0.0495 0.7504  3 Ni 2.69-2.76, 1 In 2.99
In 0.2140 0.5506 0.9714  3 Ni 2.70-2.78, 1 In 2.97
Ni 0.0721 0.7500 0.9897  6 In 2.69-2.76, 1 Pm 2.97
Ni 0.1755 0.2500 0.7323  6 In 2.70-2.78, 1 Pm 3.01

Output
magnetic moment = 0.000 Bohr magnetons per cell
DOS(E_F) = 0.703 states/eV per atom
VASP energy = -4.42 eV/atom
excess energy over the best structure of this formula in the dataset = 0.0183 eV/atom
DFT formation energy = -0.416 eV per atom